# SrGa2Ag (PBE-GGA, optimized geometry)
# - energy of formation from the pure elements (meV per atom) = -187
# - crystal system = tetragonal
# - N(E_F) (states/eV per atom) = 0.354
# - E (eV/cell) = -45.33
data_SrGa2Ag
_chemical_formula_sum 'Sr4 Ga8 Ag4'
_cell_length_a 4.854
_cell_length_b 4.854
_cell_length_c 18.532
_cell_angle_alpha 90.00
_cell_angle_beta 90.00
_cell_angle_gamma 90.00
_space_group_name_H-M_alt 'I -4 2 d'
_space_group_IT_number 122
_space_group_name_Hall 'I -4 2bw'
loop_
_atom_site_label
_atom_site_type_symbol
_atom_site_fract_x
_atom_site_fract_y
_atom_site_fract_z
Sr1 Sr 0.000 0.000 0.000
Ga1 Ga 0.078 0.250 0.625
Ag1 Ag 0.000 0.000 0.500

***

# Sr2GaAg2 (PBE-GGA, optimized geometry)
# - energy of formation from the pure elements (meV per atom) = -322
# - crystal system = monoclinic
# - N(E_F) (states/eV per atom) = 0.756
# - E (eV/cell) = -54.81
# - polymorph energy (0 for the lowest one) (eV/atom) = 0.005
data_Sr2GaAg2
_chemical_formula_sum 'Sr8 Ga4 Ag8'
_cell_length_a 10.508
_cell_length_b 6.142
_cell_length_c 8.678
_cell_angle_alpha 90.00
_cell_angle_beta 103.10
_cell_angle_gamma 90.00
_space_group_name_H-M_alt 'C 1 2/c 1'
_space_group_IT_number 15
loop_
_space_group_symop_operation_xyz
'x,y,z'
'-x,-y,-z'
'-x,y,-z+1/2'
'x,-y,z+1/2'
'x+1/2,y+1/2,z'
'-x+1/2,-y+1/2,-z'
'-x+1/2,y+1/2,-z+1/2'
'x+1/2,-y+1/2,z+1/2'
loop_
_atom_site_label
_atom_site_type_symbol
_atom_site_fract_x
_atom_site_fract_y
_atom_site_fract_z
Sr1 Sr 0.152 0.132 0.153
Ga1 Ga 0.000 0.352 0.750
Ag1 Ag 0.127 0.371 0.498

***

# SrTbGaAg (PBE-GGA, optimized geometry)
# - energy of formation from the pure elements (meV per atom) = -318
# - crystal system = cubic
# - N(E_F) (states/eV per atom) = 1.161
# - E (eV/cell) = -53.84
data_SrTbGaAg
_chemical_formula_sum 'Sr4 Tb4 Ga4 Ag4'
_cell_length_a 7.501
_cell_length_b 7.501
_cell_length_c 7.501
_cell_angle_alpha 90.00
_cell_angle_beta 90.00
_cell_angle_gamma 90.00
_space_group_name_H-M_alt 'F -4 3 m'
_space_group_IT_number 216
_space_group_name_Hall 'F -4 2 3'
loop_
_atom_site_label
_atom_site_type_symbol
_atom_site_fract_x
_atom_site_fract_y
_atom_site_fract_z
Sr1 Sr 0.000 0.000 0.000
Tb1 Tb 0.000 0.000 0.500
Ga1 Ga 0.250 0.250 0.250
Ag1 Ag 0.250 0.250 0.750

***

# SrGaAgTe3 (PBE-GGA, optimized geometry)
# - crystal system = monoclinic
# - N(E_F) (states/eV per atom) = 0.115
# - E (eV/cell) = -41.28
# - uncorrected formation energy (eV per atom) = -0.610
data_SrGaAgTe3
_chemical_formula_sum 'Sr2 Ga2 Ag2 Te6'
_cell_length_a 9.491
_cell_length_b 4.492
_cell_length_c 11.115
_cell_angle_alpha 90.00
_cell_angle_beta 103.49
_cell_angle_gamma 90.00
_space_group_name_H-M_alt 'P 1 21/m 1'
_space_group_IT_number 11
loop_
_space_group_symop_operation_xyz
'x,y,z'
'-x,-y,-z'
'-x,y+1/2,-z'
'x,-y+1/2,z'
loop_
_atom_site_label
_atom_site_type_symbol
_atom_site_fract_x
_atom_site_fract_y
_atom_site_fract_z
Sr1 Sr 0.217 0.250 0.134
Ga1 Ga 0.066 0.250 0.620
Ag1 Ag 0.446 0.750 0.929
Te1 Te 0.032 0.250 0.846
Te2 Te 0.193 0.750 0.550
Te3 Te 0.486 0.750 0.198

***

# SrThGaAg (PBE-GGA, optimized geometry)
# - energy of formation from the pure elements (meV per atom) = -181
# - crystal system = cubic
# - N(E_F) (states/eV per atom) = 0.566
# - E (eV/cell) = -62.81
data_SrThGaAg
_chemical_formula_sum 'Sr4 Th4 Ga4 Ag4'
_cell_length_a 7.591
_cell_length_b 7.591
_cell_length_c 7.591
_cell_angle_alpha 90.00
_cell_angle_beta 90.00
_cell_angle_gamma 90.00
_space_group_name_H-M_alt 'F -4 3 m'
_space_group_IT_number 216
_space_group_name_Hall 'F -4 2 3'
loop_
_atom_site_label
_atom_site_type_symbol
_atom_site_fract_x
_atom_site_fract_y
_atom_site_fract_z
Sr1 Sr 0.000 0.000 0.000
Th1 Th 0.000 0.000 0.500
Ga1 Ga 0.250 0.250 0.250
Ag1 Ag 0.250 0.250 0.750

***

# Sr2TlGa3Ag4 (PBE-GGA, optimized geometry)
# - energy of formation from the pure elements (meV per atom) = -259
# - crystal system = tetragonal
# - N(E_F) (states/eV per atom) = 0.459
# - E (eV/cell) = -28.81
data_Sr2TlGa3Ag4
_chemical_formula_sum 'Sr2 Tl1 Ga3 Ag4'
_cell_length_a 4.580
_cell_length_b 4.580
_cell_length_c 11.326
_cell_angle_alpha 90.00
_cell_angle_beta 90.00
_cell_angle_gamma 90.00
_space_group_name_H-M_alt 'P -4 m 2'
_space_group_IT_number 115
loop_
_space_group_symop_operation_xyz
'x,y,z'
'y,-x,-z'
'-x,-y,z'
'-y,x,-z'
'-x,y,z'
'-y,-x,-z'
'x,-y,z'
'y,x,-z'
loop_
_atom_site_label
_atom_site_type_symbol
_atom_site_fract_x
_atom_site_fract_y
_atom_site_fract_z
Sr1 Sr 0.000 0.500 0.240
Tl1 Tl 0.000 0.000 0.500
Ga1 Ga 0.000 0.500 0.880
Ga2 Ga 0.500 0.500 0.500
Ag1 Ag 0.000 0.000 0.000
Ag2 Ag 0.000 0.500 0.652
Ag3 Ag 0.500 0.500 0.000

***

Please write out number 1 again, unchanged.
# SrGa2Ag (PBE-GGA, optimized geometry)
# - energy of formation from the pure elements (meV per atom) = -187
# - crystal system = tetragonal
# - N(E_F) (states/eV per atom) = 0.354
# - E (eV/cell) = -45.33
data_SrGa2Ag
_chemical_formula_sum 'Sr4 Ga8 Ag4'
_cell_length_a 4.854
_cell_length_b 4.854
_cell_length_c 18.532
_cell_angle_alpha 90.00
_cell_angle_beta 90.00
_cell_angle_gamma 90.00
_space_group_name_H-M_alt 'I -4 2 d'
_space_group_IT_number 122
_space_group_name_Hall 'I -4 2bw'
loop_
_atom_site_label
_atom_site_type_symbol
_atom_site_fract_x
_atom_site_fract_y
_atom_site_fract_z
Sr1 Sr 0.000 0.000 0.000
Ga1 Ga 0.078 0.250 0.625
Ag1 Ag 0.000 0.000 0.500

***

The highest N(E_F) belongs to which entry?
SrTbGaAg

***

Which value of E does entry 6 give?
-28.81 eV/cell